A geometry-optimized TbPmSm structure. Source: Alexandria via LeMat-Bulk, functional PBE.

```
3
Lattice="3.640 0.013 0.021 1.806 3.095 0.616 -0.045 0.410 9.012" Properties=species:S:1:pos:R:3 pbc="T T T"
Pm 0.737 0.995 5.696
Tb 4.358 2.502 8.974
Sm 2.573 0.503 2.583
```

Values from the calculation:
Energy relative to the elements in meV/atom: 14
Space-group type: Cm, No. 8
E above lowest polymorph in meV/atom: 0

=====

A geometry-optimized Tb3Pm2Sm7 structure. Source: Alexandria via LeMat-Bulk, functional PBE.

```
12
Lattice="3.641 0.000 0.000 0.000 5.796 0.000 0.000 -2.898 19.190" Properties=species:S:1:pos:R:3 pbc="T T T"
Sm 0.000 2.898 3.491
Sm 1.820 0.000 2.757
Sm 0.000 0.000 8.870
Sm 0.000 0.000 0.000
Sm 1.820 2.898 16.433
Sm 0.000 0.000 15.699
Sm 0.000 2.898 10.320
Tb 1.820 2.898 7.108
Tb 1.820 0.000 12.082
Tb 1.820 2.898 0.000
Pm 0.000 2.898 13.508
Pm 0.000 0.000 5.682
```

Values from the calculation:
Energy relative to the elements in meV/atom: 108
Space-group type: Cmmm, No. 65
E above lowest polymorph in meV/atom: 40

=====

A geometry-optimized Tb2Pm6Sm3 structure. Source: Alexandria via LeMat-Bulk, functional PBE.

```
11
Lattice="3.619 0.000 0.222 1.803 3.138 0.222 -0.185 -0.107 32.624" Properties=species:S:1:pos:R:3 pbc="T T T"
Sm 0.000 0.000 0.000
Sm 1.444 0.836 6.078
Sm 3.794 2.196 26.990
Pm 4.334 2.509 18.179
Pm 4.876 2.822 9.346
Pm 3.433 1.987 3.263
Pm 0.903 0.523 14.889
Pm 0.361 0.209 23.722
Pm 1.805 1.045 29.804
Tb 2.348 1.359 20.950
Tb 2.890 1.673 12.117
```

Values from the calculation:
Energy relative to the elements in meV/atom: 12
Space-group type: R-3m, No. 166
E above lowest polymorph in meV/atom: 0

=====

A geometry-optimized Tb4Pm5Sm4 structure. Source: Alexandria via LeMat-Bulk, functional PBE.

```
13
Lattice="4.937 0.000 1.255 2.468 9.238 0.628 0.192 0.000 9.581" Properties=species:S:1:pos:R:3 pbc="T T T"
Sm 3.888 2.838 5.379
Sm 5.828 4.255 8.085
Sm 1.769 4.982 3.379
Sm 3.709 6.399 6.084
Pm 5.656 7.820 8.762
Pm 1.941 1.417 2.702
Pm 4.587 7.098 2.629
Pm 0.000 0.000 0.000
Pm 3.010 2.140 8.834
Tb 4.761 3.564 1.946
Tb 1.070 0.713 6.126
Tb 6.527 8.525 5.337
Tb 2.836 5.674 9.518
```

Values from the calculation:
Energy relative to the elements in meV/atom: 13
Space-group type: I4/m, No. 87

=====

A geometry-optimized Tb6Pm3Sm structure. Source: Alexandria via LeMat-Bulk, functional PBE.

```
10
Lattice="8.785 0.000 4.662 3.156 8.199 4.662 2.241 1.539 6.385" Properties=species:S:1:pos:R:3 pbc="T T T"
Tb 3.792 4.579 6.923
Tb 8.678 1.894 8.537
Tb 10.486 5.233 8.392
Tb 7.762 7.419 10.064
Tb 5.772 7.907 6.865
Tb 6.587 2.546 5.344
Sm 11.155 7.660 10.804
Pm 6.305 4.329 9.335
Pm 7.611 5.226 6.875
Pm 2.761 1.896 5.406
```

Values from the calculation:
Energy relative to the elements in meV/atom: 274
Space-group type: R3, No. 146
E above lowest polymorph in meV/atom: 128

=====

A geometry-optimized Tb5Pm2Sm structure. Source: Alexandria via LeMat-Bulk, functional PBE.

```
16
Lattice="9.151 0.000 -3.915 -0.988 6.034 -2.310 -0.821 -1.806 10.734" Properties=species:S:1:pos:R:3 pbc="T T T"
Tb 3.953 2.986 -1.152
Tb 7.881 4.526 -5.421
Tb 0.281 1.509 -0.803
Tb 1.261 4.260 5.206
Tb 6.082 -0.032 -0.696
Tb 0.301 1.533 2.959
Tb 3.389 1.243 5.662
Tb 5.904 -0.322 3.403
Tb 7.041 2.695 1.551
Tb 1.438 4.550 1.107
Pm 0.458 1.254 7.310
Pm 2.866 -0.043 0.286
Pm 6.885 2.974 -2.800
Pm 4.477 4.272 4.224
Sm 3.671 2.114 2.255
Sm -0.410 -0.903 5.367
```

Values from the calculation:
Energy relative to the elements in meV/atom: 163
Space-group type: C2/c, No. 15
E above lowest polymorph in meV/atom: 148

=====

A geometry-optimized Tb2Pm12Sm structure. Source: Alexandria via LeMat-Bulk, functional PBE.

```
30
Lattice="-4.809 1.766 -4.046 3.247 -2.640 -5.010 -11.674 -22.255 4.160" Properties=species:S:1:pos:R:3 pbc="T T T"
Pm -6.945 -10.040 -4.891
Pm -4.841 -10.327 -0.521
Pm -13.016 -18.964 0.002
Pm -7.779 -9.010 -1.722
Pm -7.731 -14.739 2.755
Pm -9.484 -11.916 -2.693
Pm -2.279 -2.490 -1.719
Pm -9.199 -21.284 -1.698
Pm -10.176 -20.202 1.351
Pm -7.071 -13.526 -4.533
Pm -4.008 -11.356 -3.691
Pm -4.247 -1.962 -4.416
Pm -5.200 -13.975 -1.687
Pm -7.613 -12.365 0.153
Pm -3.302 -5.242 -3.630
Pm -8.512 -15.176 -1.773
Pm -4.724 -7.953 -3.123
Pm -2.521 -4.806 0.898
Pm -0.009 -4.048 -3.680
Pm -12.040 -20.046 -3.047
Pm -1.977 -3.520 -6.377
Pm -9.153 -17.450 3.262
Pm -3.943 -7.517 1.405
Pm -9.934 -17.887 -1.266
Tb -5.583 -5.176 -0.890
Tb -10.900 -15.313 1.004
Tb -6.872 -17.516 0.522
Tb -1.555 -7.379 -1.373
Sm 1.623 -1.320 -2.505
Sm -2.404 0.883 -2.023
```

Values from the calculation:
Energy relative to the elements in meV/atom: 311
Space-group type: P4/nbm, No. 125

=====

A geometry-optimized TbPmSm structure. Source: Alexandria via LeMat-Bulk, functional PBE.

```
6
Lattice="-3.169 -1.014 -3.900 5.664 -0.856 -4.379 -2.519 -4.111 6.484" Properties=species:S:1:pos:R:3 pbc="T T T"
Sm 1.247 -0.935 -4.140
Sm -1.585 -0.507 -1.950
Tb -1.371 -1.546 1.516
Tb 1.347 -4.435 -3.311
Pm 1.468 -1.964 -0.682
Pm -1.492 -4.017 -1.113
```

Values from the calculation:
Energy relative to the elements in meV/atom: 14
Space-group type: C2/m, No. 12
E above lowest polymorph in meV/atom: 0